Entry from the Alexandria database: a relaxed Ho10Bi3Pb3 crystal (PBE-GGA).

```
Ho10Bi3Pb3
1.0
9.086 0.000 0.000
-4.543 7.869 0.000
0.000 0.000 6.466
Ho Bi Pb
10 3 3
Direct
0.000 0.239 0.000 Ho
0.000 0.761 0.500 Ho
0.239 0.000 0.000 Ho
0.239 0.239 0.500 Ho
0.333 0.667 0.249 Ho
0.333 0.667 0.751 Ho
0.667 0.333 0.249 Ho
0.667 0.333 0.751 Ho
0.761 0.000 0.500 Ho
0.761 0.761 0.000 Ho
0.000 0.392 0.500 Bi
0.392 0.000 0.500 Bi
0.608 0.608 0.500 Bi
0.000 0.608 0.000 Pb
0.392 0.392 0.000 Pb
0.608 0.000 0.000 Pb
```

Summary:
calculated total energy = -4.887 eV per atom
symmetry = P-62m, No. 189


Entry from the Alexandria database: a relaxed RbTcPbO4 crystal (PBE-GGA).

```
RbTcPbO4
1.0
7.434 0.000 0.000
0.000 5.849 0.000
-0.162 0.000 7.707
Rb Tc Pb O
2 2 2 8
Direct
0.111 0.250 0.329 Rb
0.889 0.750 0.671 Rb
0.387 0.750 0.326 Tc
0.613 0.250 0.674 Tc
0.396 0.750 0.873 Pb
0.604 0.250 0.127 Pb
0.176 0.750 0.427 O
0.381 0.534 0.135 O
0.381 0.966 0.135 O
0.399 0.250 0.574 O
0.601 0.750 0.426 O
0.619 0.034 0.865 O
0.619 0.466 0.865 O
0.824 0.250 0.573 O
```

Summary:
calculated total energy = -6.334 eV per atom
raw formation energy = -1.3517 eV/atom
symmetry = P2_1/m, No. 11


Entry from the Alexandria database: a relaxed NbTlZnP2 crystal (PBE-GGA).

```
NbTlZnP2
1.0
4.545 0.000 0.000
0.000 4.545 0.000
0.000 0.000 5.175
Nb Tl Zn P
1 1 1 2
Direct
0.000 0.000 0.000 Nb
0.500 0.500 0.000 Tl
0.000 0.000 0.500 Zn
0.000 0.500 0.500 P
0.500 0.000 0.500 P
```

Summary:
calculated total energy = -3.947 eV per atom
symmetry = P4/mmm, No. 123


Entry from the Alexandria database: a relaxed Pm4In3Cu crystal (PBE-GGA).

```
Pm4In3Cu
1.0
3.624 0.000 0.000
0.000 3.624 0.000
0.000 0.000 16.510
Pm In Cu
4 3 1
Direct
0.000 0.000 0.107 Pm
0.000 0.000 0.369 Pm
0.000 0.000 0.631 Pm
0.000 0.000 0.893 Pm
0.500 0.500 0.237 In
0.500 0.500 0.500 In
0.500 0.500 0.763 In
0.500 0.500 0.000 Cu
```

Summary:
calculated total energy = -4.323 eV per atom
symmetry = P4/mmm, No. 123


Entry from the Alexandria database: a relaxed Nd4SmCo crystal (PBE-GGA).

```
Nd4SmCo
1.0
8.969 -3.690 0.000
8.969 3.690 0.000
-2.041 0.000 5.700
Nd Sm Co
8 2 2
Direct
0.130 0.633 0.381 Nd
0.235 0.765 0.000 Nd
0.325 0.325 0.826 Nd
0.367 0.870 0.619 Nd
0.633 0.130 0.381 Nd
0.675 0.675 0.174 Nd
0.765 0.235 0.000 Nd
0.870 0.367 0.619 Nd
0.197 0.197 0.198 Sm
0.803 0.803 0.802 Sm
0.499 0.499 0.314 Co
0.501 0.501 0.686 Co
```

Summary:
calculated total energy = -5.128 eV per atom
symmetry = C2/m, No. 12


Entry from the Alexandria database: a relaxed NdTmIn crystal (PBE-GGA).

```
NdTmIn
1.0
3.589 0.000 0.000
0.000 3.589 0.000
0.000 0.000 13.776
Nd Tm In
2 2 2
Direct
0.000 0.000 0.000 Nd
0.500 0.500 0.500 Nd
0.000 0.000 0.690 Tm
0.500 0.500 0.190 Tm
0.000 0.000 0.337 In
0.500 0.500 0.837 In
```

Summary:
calculated total energy = -4.286 eV per atom
symmetry = I4mm, No. 107


Entry from the Alexandria database: a relaxed In2SbAu crystal (PBE-GGA).

```
In2SbAu
1.0
7.359 0.000 0.000
0.000 7.359 0.000
0.000 0.000 7.359
In Sb Au
8 4 4
Direct
0.000 0.000 0.000 In
0.000 0.500 0.500 In
0.250 0.250 0.250 In
0.250 0.750 0.750 In
0.500 0.000 0.500 In
0.500 0.500 0.000 In
0.750 0.250 0.750 In
0.750 0.750 0.250 In
0.250 0.250 0.750 Sb
0.250 0.750 0.250 Sb
0.750 0.250 0.250 Sb
0.750 0.750 0.750 Sb
0.000 0.000 0.500 Au
0.000 0.500 0.000 Au
0.500 0.000 0.000 Au
0.500 0.500 0.500 Au
```

Summary:
calculated total energy = -3.174 eV per atom
raw formation energy = 0.0450 eV/atom
symmetry = F-43m, No. 216


Entry from the Alexandria database: a relaxed NaSrTl2S crystal (PBE-GGA).

```
NaSrTl2S
1.0
6.206 0.000 0.000
0.000 6.206 0.000
0.000 0.000 6.251
Na Sr Tl S
1 1 2 1
Direct
0.000 0.000 0.000 Na
0.000 0.000 0.500 Sr
0.000 0.500 0.500 Tl
0.500 0.000 0.500 Tl
0.500 0.500 0.000 S
```

Summary:
calculated total energy = -1.654 eV per atom
raw formation energy = 0.7184 eV/atom
symmetry = P4/mmm, No. 123


Entry from the Alexandria database: a relaxed MgSi3W crystal (PBE-GGA).

```
MgSi3W
1.0
4.801 0.000 0.000
0.000 4.801 0.000
0.000 0.000 4.801
Mg Si W
1 3 1
Direct
0.000 0.000 0.000 Mg
0.000 0.500 0.500 Si
0.500 0.000 0.500 Si
0.500 0.500 0.000 Si
0.500 0.500 0.500 W
```

Summary:
calculated total energy = -5.641 eV per atom
raw formation energy = 0.5228 eV/atom
symmetry = Pm-3m, No. 221


Entry from the Alexandria database: a relaxed PtRh4 crystal (PBE-GGA).

```
PtRh4
1.0
3.575 0.000 0.000
0.000 3.575 0.000
0.000 0.000 12.443
Pt Rh
2 8
Direct
0.000 0.000 0.000 Pt
0.500 0.500 0.500 Pt
0.000 0.000 0.402 Rh
0.000 0.000 0.598 Rh
0.000 0.500 0.250 Rh
0.000 0.500 0.750 Rh
0.500 0.000 0.250 Rh
0.500 0.000 0.750 Rh
0.500 0.500 0.098 Rh
0.500 0.500 0.902 Rh
```

Summary:
calculated total energy = -6.701 eV per atom
symmetry = I4/mmm, No. 139


Entry from the Alexandria database: a relaxed Ce2PuZn2Ge2 crystal (PBE-GGA).

```
Ce2PuZn2Ge2
1.0
2.174 1.255 9.021
-2.174 1.255 9.021
0.000 -2.511 9.021
Ce Pu Zn Ge
2 1 2 2
Direct
0.141 0.141 0.141 Ce
0.859 0.859 0.859 Ce
0.000 0.000 0.000 Pu
0.405 0.405 0.405 Zn
0.595 0.595 0.595 Zn
0.267 0.267 0.267 Ge
0.733 0.733 0.733 Ge
```

Summary:
calculated total energy = -5.742 eV per atom
symmetry = R-3m, No. 166